[1]
DFT (GGA-PBE) results for a relaxed LiPmAs2 crystal.

The symmetry is R-3m (166). As for the energy above the lowest structure with this stoichiometry: 278 meV/atom. The calculation puts the calculated total energy at -4.72 eV/atom. The value obtained for the energy of formation is -730 meV/atom.

Unit cell a=4.5404 b=4.5404 c=14.7004 alpha=90.00 beta=90.00 gamma=120.00
With the nearest neighbours (Å) after each atom.
Fractional coordinates of all 12 atoms:
Li 0.0000 0.0000 0.0000  6 As 2.82
Li 0.3333 0.6667 0.6667  6 As 2.82
Li 0.6667 0.3333 0.3333  6 As 2.82
Pm 0.0000 0.0000 0.5000  6 As 2.97
Pm 0.3333 0.6667 0.1667  6 As 2.97
Pm 0.6667 0.3333 0.8333  6 As 2.97
As 0.0000 0.0000 0.2623  3 Li 2.82, 3 Pm 2.97
As 0.0000 0.0000 0.7377  3 Li 2.82, 3 Pm 2.97
As 0.3333 0.6667 0.4043  3 Li 2.82, 3 Pm 2.97
As 0.3333 0.6667 0.9290  3 Li 2.82, 3 Pm 2.97
As 0.6667 0.3333 0.0710  3 Li 2.82, 3 Pm 2.97
As 0.6667 0.3333 0.5957  3 Li 2.82, 3 Pm 2.97

***

[2]
DFT (GGA-PBE) results for a relaxed Li2PmAs crystal.

The symmetry is Fm-3m (225). As for the energy above the lowest structure with this stoichiometry: 232 meV/atom. The calculation puts the calculated total energy at -3.68 eV/atom. The value obtained for the energy of formation is -376 meV/atom.

Unit cell a=6.5601 b=6.5601 c=6.5601 alpha=90.00 beta=90.00 gamma=90.00
With the nearest neighbours (Å) after each atom.
Fractional coordinates of all 16 atoms:
Li 0.2500 0.2500 0.2500  4 As 2.84, 4 Pm 2.84
Li 0.2500 0.2500 0.7500  4 As 2.84, 4 Pm 2.84
Li 0.2500 0.7500 0.2500  4 As 2.84, 4 Pm 2.84
Li 0.2500 0.7500 0.7500  4 As 2.84, 4 Pm 2.84
Li 0.7500 0.2500 0.2500  4 As 2.84, 4 Pm 2.84
Li 0.7500 0.2500 0.7500  4 As 2.84, 4 Pm 2.84
Li 0.7500 0.7500 0.2500  4 As 2.84, 4 Pm 2.84
Li 0.7500 0.7500 0.7500  4 As 2.84, 4 Pm 2.84
Pm 0.0000 0.0000 0.0000  8 Li 2.84
Pm 0.0000 0.5000 0.5000  8 Li 2.84
Pm 0.5000 0.0000 0.5000  8 Li 2.84
Pm 0.5000 0.5000 0.0000  8 Li 2.84
As 0.0000 0.0000 0.5000  8 Li 2.84
As 0.0000 0.5000 0.0000  8 Li 2.84
As 0.5000 0.0000 0.0000  8 Li 2.84
As 0.5000 0.5000 0.5000  8 Li 2.84

***

[3]
DFT (GGA-PBE) results for a relaxed LiPmAs crystal.

The symmetry is C2/m (12). As for the energy above the lowest structure with this stoichiometry: 141 meV/atom. The calculation puts the calculated total energy at -4.66 eV/atom. The value obtained for the energy of formation is -889 meV/atom.

Unit cell a=10.2292 b=4.5008 c=6.2003 alpha=90.00 beta=100.82 gamma=90.00
With the nearest neighbours (Å) after each atom.
Fractional coordinates of all 12 atoms:
Li 0.1175 0.0000 0.4065  3 As 2.54-2.71
Li 0.3825 0.5000 0.5935  3 As 2.54-2.71
Li 0.6175 0.5000 0.4065  3 As 2.54-2.71
Li 0.8825 0.0000 0.5935  3 As 2.54-2.71
Pm 0.1281 0.5000 0.7731  4 As 2.94-3.07, 3 Li 3.02-3.19
Pm 0.3719 0.0000 0.2269  4 As 2.94-3.07, 3 Li 3.02-3.19
Pm 0.6281 0.0000 0.7731  4 As 2.94-3.07, 3 Li 3.02-3.19
Pm 0.8719 0.5000 0.2269  4 As 2.94-3.07, 3 Li 3.02-3.19
As 0.1714 0.5000 0.2552  3 Li 2.54-2.71
As 0.3286 0.0000 0.7448  3 Li 2.54-2.71
As 0.6714 0.0000 0.2552  3 Li 2.54-2.71
As 0.8286 0.5000 0.7448  3 Li 2.54-2.71

***

[4]
DFT (GGA-PBE) results for a relaxed LiPmAs2Pt2 crystal.

The symmetry is P-3m1 (164). The calculation puts the calculated total energy at -5.59 eV/atom. The value obtained for the energy of formation is -917 meV/atom.

Unit cell a=4.3427 b=4.3427 c=6.7410 alpha=90.00 beta=90.00 gamma=120.00
With the nearest neighbours (Å) after each atom.
Fractional coordinates of all 6 atoms:
Li 0.0000 0.0000 0.0000  6 Pt 2.82, 6 As 2.90
Pm 0.0000 0.0000 0.5000  6 As 3.15, 6 Pt 3.26, 2 Li 3.37
As 0.3333 0.6667 0.7841  4 Pt 2.51-2.75
As 0.6667 0.3333 0.2159  4 Pt 2.51-2.75
Pt 0.3333 0.6667 0.1913  4 As 2.51-2.75
Pt 0.6667 0.3333 0.8087  4 As 2.51-2.75

***

| no. | total moment (μB per cell) | volume (Å³/cell) |
| --- | --- | --- |
| 1 | 0.0 | 262 |
| 2 | 0.0 | 282 |
| 3 | 0.0 | 280 |
| 4 | 0.0 | 110 |